(1)
Below is a geometry-optimized Ba2BeCoSb structure, with properties calculated at the PBE-GGA level. Values from VASP.

The value obtained for the raw formation energy is 217.6 meV/atom. As for the space group: P4/mmm.

Structure (Quantum ESPRESSO input):
```
&SYSTEM
  ibrav = 0, nat = 5, ntyp = 4
/
ATOMIC_SPECIES
Ba 137.33 Ba.upf
Co 58.93 Co.upf
Be 9.01 Be.upf
Sb 121.76 Sb.upf
CELL_PARAMETERS angstrom
5.9359 0.0000 0.0000
0.0000 4.7619 0.0000
0.0000 0.0000 5.9359
ATOMIC_POSITIONS crystal
Ba 0.5000 0.0000 0.0000
Ba 0.0000 0.0000 0.5000
Co 0.0000 0.0000 0.0000
Be 0.5000 0.5000 0.5000
Sb 0.0000 0.5000 0.0000
```

***

(2)
Below is a geometry-optimized Cs6IO2 structure, with properties calculated at the PBE-GGA level. Values from VASP.

The value obtained for the raw formation energy is -977.2 meV/atom. As for the space group: C2/c.

Structure (Quantum ESPRESSO input):
```
&SYSTEM
  ibrav = 0, nat = 18, ntyp = 3
/
ATOMIC_SPECIES
I 126.90 I.upf
Cs 132.91 Cs.upf
O 16.00 O.upf
CELL_PARAMETERS angstrom
-3.2830 -2.0399 5.8512
-6.3063 -8.8092 -6.2758
9.4324 -7.6883 2.9458
ATOMIC_POSITIONS crystal
I 0.7500 0.8922 0.1078
I 0.2500 0.1078 0.8922
Cs 0.7520 0.2144 0.0295
Cs 0.3241 0.7429 0.6282
Cs 0.2480 0.7856 0.9705
Cs 0.2520 0.0295 0.2144
Cs 0.7923 0.8292 0.4439
Cs 0.7480 0.9705 0.7856
Cs 0.1759 0.3718 0.2571
Cs 0.8241 0.6282 0.7429
Cs 0.7077 0.5561 0.1708
Cs 0.2923 0.4439 0.8292
Cs 0.2077 0.1708 0.5561
Cs 0.6759 0.2571 0.3718
O 0.7101 0.8072 0.6441
O 0.2899 0.1928 0.3559
O 0.2101 0.6441 0.8072
O 0.7899 0.3559 0.1928
```

***

(3)
Below is a geometry-optimized RbNbRh2 structure, with properties calculated at the PBE-GGA level. Values from VASP.

The calculation puts the relative energy among the computed polymorphs at 176.8 meV/atom. The value obtained for the formation energy is 874 meV/atom. As for the space group: Fm-3m.

Structure (Quantum ESPRESSO input):
```
&SYSTEM
  ibrav = 0, nat = 4, ntyp = 3
/
ATOMIC_SPECIES
Nb 92.91 Nb.upf
Rb 85.47 Rb.upf
Rh 102.91 Rh.upf
CELL_PARAMETERS angstrom
0.0000 3.3656 3.3656
3.3656 0.0000 3.3656
3.3656 3.3656 0.0000
ATOMIC_POSITIONS crystal
Nb 0.5000 0.5000 0.5000
Rb 0.0000 0.0000 0.0000
Rh 0.2500 0.2500 0.2500
Rh 0.7500 0.7500 0.7500
```

***

| no. | total moment (Bohr magnetons per cell) |
| --- | --- |
| 1 | 0.0 |
| 2 | 0.0 |
| 3 | 0.0 |